ZnCoWAu | PBE-GGA | relaxed

Cell and atoms, written as POSCAR:
```
ZnCoWAu
1.0
0.000 3.097 3.097
3.097 0.000 3.097
3.097 3.097 0.000
W Zn Co Au
1 1 1 1
Direct
0.500 0.500 0.500
0.000 0.000 0.000
0.750 0.750 0.750
0.250 0.250 0.250
```

Computed properties:
* M_tot: 0.183 μB/f.u.
* electronic total energy: -23.00 eV/cell
* symmetry: F-43m, No. 216
* offset from the most stable computed form: 0.43 eV/f.u.
* DFT formation energy: 0.40 eV/atom

=====

ZnCoWAu | PBE-GGA | relaxed

Cell and atoms, written as POSCAR:
```
ZnCoWAu
1.0
-0.312 0.992 4.233
-3.061 -1.890 2.461
1.134 -2.935 3.016
W Au Zn Co
1 1 1 1
Direct
0.250 0.250 0.250
0.500 0.500 0.500
0.000 0.000 0.000
0.750 0.750 0.750
```

Computed properties:
* M_tot: 0.098 μB/f.u.
* electronic total energy: -22.72 eV/cell
* symmetry: F-43m, No. 216
* offset from the most stable computed form: 0.72 eV/f.u.
* DFT formation energy: 0.47 eV/atom

=====

ZnCoWAu | PBE-GGA | relaxed

Cell and atoms, written as POSCAR:
```
ZnCoWAu
1.0
0.000 3.055 3.055
3.055 0.000 3.055
3.055 3.055 0.000
Co W Au Zn
1 1 1 1
Direct
0.500 0.500 0.500
0.250 0.250 0.250
0.750 0.750 0.750
0.000 0.000 0.000
```

Computed properties:
* M_tot: 0.010 μB/f.u.
* electronic total energy: -23.44 eV/cell
* symmetry: F-43m, No. 216
* offset from the most stable computed form: 0.00 eV/f.u.
* DFT formation energy: 0.29 eV/atom

=====

Zn2CoAu | PBE-GGA | relaxed

Cell and atoms, written as POSCAR:
```
Zn2CoAu
1.0
2.141 -3.634 -0.911
-1.635 -3.819 1.169
-1.520 -2.706 -2.999
Co Zn Au
1 2 1
Direct
0.250 0.250 0.250
0.000 0.000 0.000
0.750 0.750 0.750
0.500 0.500 0.500
```

Computed properties:
* M_tot: 0.811 μB/f.u.
* electronic total energy: -12.75 eV/cell
* symmetry: F-43m, No. 216
* DFT formation energy: 0.04 eV/atom

=====

ZnCoAu2 | PBE-GGA | relaxed

Cell and atoms, written as POSCAR:
```
ZnCoAu2
1.0
-4.051 -1.670 -0.781
-3.622 2.359 1.062
-2.543 1.740 -3.212
Zn Au Co
1 2 1
Direct
0.250 0.250 0.250
0.750 0.750 0.750
0.000 0.000 0.000
0.500 0.500 0.500
```

Computed properties:
* M_tot: 1.426 μB/f.u.
* electronic total energy: -14.40 eV/cell
* symmetry: F-43m, No. 216
* DFT formation energy: 0.13 eV/atom

=====

ZrZnCoAu | PBE-GGA | relaxed

Cell and atoms, written as POSCAR:
```
ZrZnCoAu
1.0
0.000 3.197 3.197
3.197 0.000 3.197
3.197 3.197 0.000
Zn Zr Au Co
1 1 1 1
Direct
0.000 0.000 0.000
0.500 0.500 0.500
0.250 0.250 0.250
0.750 0.750 0.750
```

Computed properties:
* M_tot: 1.162 μB/f.u.
* electronic total energy: -21.15 eV/cell
* symmetry: F-43m, No. 216
* offset from the most stable computed form: 0.00 eV/f.u.
* DFT formation energy: -0.24 eV/atom

=====

ZrZnCoAu | PBE-GGA | relaxed

Cell and atoms, written as POSCAR:
```
ZrZnCoAu
1.0
-3.956 -1.450 1.698
-3.600 2.770 0.055
-3.512 -0.784 -2.773
Zr Co Zn Au
1 1 1 1
Direct
0.250 0.250 0.250
0.750 0.750 0.750
0.000 0.000 0.000
0.500 0.500 0.500
```

Computed properties:
* M_tot: 1.470 μB/f.u.
* electronic total energy: -20.63 eV/cell
* symmetry: F-43m, No. 216
* offset from the most stable computed form: 0.51 eV/f.u.
* DFT formation energy: -0.11 eV/atom

=====

ZrCoAu2 | PBE-GGA | relaxed

Cell and atoms, written as POSCAR:
```
ZrCoAu2
1.0
4.270 -1.634 -0.376
1.025 -4.148 1.670
0.883 -3.472 -2.865
Au Zr Co
2 1 1
Direct
0.750 0.750 0.750
0.000 0.000 0.000
0.500 0.500 0.500
0.250 0.250 0.250
```

Computed properties:
* M_tot: 1.104 μB/f.u.
* electronic total energy: -23.02 eV/cell
* symmetry: F-43m, No. 216
* DFT formation energy: -0.21 eV/atom

=====

Zr2Co2Au | PBE-GGA | relaxed

Cell and atoms, written as POSCAR:
```
Zr2Co2Au
1.0
7.049 0.000 0.000
0.000 7.049 0.000
0.000 0.000 3.299
Zr Co Au
4 4 2
Direct
0.168 0.668 0.500
0.332 0.168 0.500
0.832 0.332 0.500
0.668 0.832 0.500
0.630 0.130 0.000
0.130 0.370 0.000
0.870 0.630 0.000
0.370 0.870 0.000
0.000 0.000 0.000
0.500 0.500 0.000
```

Computed properties:
* M_tot: 0.006 μB/f.u.
* electronic total energy: -73.25 eV/cell
* symmetry: P4/mbm, No. 127
* DFT formation energy: -0.41 eV/atom

=====

Cs2Au | PBE-GGA | relaxed

Cell and atoms, written as POSCAR:
```
Cs2Au
1.0
0.000 5.486 5.486
5.486 0.000 5.486
5.486 5.486 0.000
Au Cs
2 4
Direct
0.250 0.250 0.250
0.000 0.000 0.000
0.625 0.125 0.625
0.125 0.625 0.625
0.625 0.625 0.625
0.625 0.625 0.125
```

Computed properties:
* electronic total energy: -8.31 eV/cell
* symmetry: Fd-3m, No. 227

=====

Cs2Au | PBE-GGA | relaxed

Cell and atoms, written as POSCAR:
```
Cs2Au
1.0
-9.765 9.507 -0.140
-3.191 -3.466 -12.789
-5.471 -5.577 2.876
Au Cs
10 20
Direct
0.650 0.655 0.247
0.850 0.845 0.753
0.500 0.000 0.874
0.350 0.345 0.247
0.845 0.150 0.247
0.155 0.850 0.247
0.150 0.155 0.753
0.655 0.350 0.753
0.345 0.650 0.753
0.000 0.500 0.126
0.707 0.911 0.110
0.293 0.089 0.110
0.000 0.000 0.000
0.411 0.793 0.110
0.911 0.293 0.890
0.500 0.500 0.000
0.908 0.707 0.376
0.207 0.411 0.890
0.207 0.592 0.376
0.092 0.293 0.376
0.089 0.707 0.890
0.793 0.408 0.376
0.589 0.207 0.110
0.707 0.092 0.624
0.793 0.589 0.890
0.592 0.793 0.624
0.293 0.908 0.624
0.000 0.000 0.500
0.500 0.500 0.500
0.408 0.207 0.624
```

Computed properties:
* electronic total energy: -55.92 eV/cell
* symmetry: P4/n, No. 85

=====

Cs5Au4 | PBE-GGA | relaxed

Cell and atoms, written as POSCAR:
```
Cs5Au4
1.0
-4.394 -0.644 5.208
-5.516 -3.859 1.237
10.440 -5.998 1.906
Cs Au
5 4
Direct
0.896 0.896 0.100
0.104 0.104 0.900
0.748 0.748 0.673
0.252 0.252 0.327
0.000 0.000 0.500
0.608 0.608 0.114
0.557 0.557 0.329
0.392 0.392 0.886
0.443 0.443 0.671
```

Computed properties:
* electronic total energy: -19.85 eV/cell
* symmetry: C2/m, No. 12

=====

Look up the electronic total energy of the eleventh one. -55.92 eV/cell